Density functional theory data (PBE) for CuBr2O after structural relaxation.

Values from the calculation:
DOS at the Fermi energy (states/eV/cell): 2.6
Energy above the most stable polymorph in this dataset (kJ/mol of atoms): 30.1
Uncorrected energy (eV/cell): -9.4

The structure in extended XYZ format:
```
4
Lattice="3.934 -2.467 0.494 0.643 -2.634 3.802 -0.106 -4.656 -0.340" Properties=species:S:1:pos:R:3 pbc="T T T"
O 0.000 0.000 0.000
Br 1.118 -2.439 0.989
Br 3.353 -7.318 2.967
Cu 2.235 -4.879 1.978
```

Density functional theory data (PBE) for Rb2Zr2AgTe6 after structural relaxation.

Values from the calculation:
DOS at the Fermi energy (states/eV/cell): 6.2
Uncorrected energy (eV/cell): -48.9

The structure in extended XYZ format:
```
11
Lattice="-6.237 -2.193 -3.101 5.524 -4.692 0.895 -2.945 0.009 8.674" Properties=species:S:1:pos:R:3 pbc="T T T"
Te -1.116 -1.971 2.053
Te -0.189 -2.041 6.158
Te 0.558 -5.691 1.679
Te -3.470 -4.835 0.311
Te -4.216 -1.185 4.789
Te -2.542 -4.905 4.416
Ag -1.473 0.005 4.337
Zr -3.804 -3.019 2.563
Zr 0.145 -3.858 3.905
Rb 3.613 -4.286 0.246
Rb -4.326 -2.599 -2.451
```

Density functional theory data (PBE) for CaTc2Te after structural relaxation.

Values from the calculation:
DOS at the Fermi energy (states/eV/cell): 5.7
Uncorrected energy (eV/cell): -23.5

The structure in extended XYZ format:
```
4
Lattice="-2.475 -1.815 -4.077 5.547 1.024 -0.695 1.334 -2.736 0.277" Properties=species:S:1:pos:R:3 pbc="T T T"
Ca 1.536 -0.396 -2.386
Te 3.441 -0.856 -0.209
Tc -0.571 -2.276 -1.900
Tc 0.000 0.000 0.000
```

Density functional theory data (PBE) for K2Rb2Sr after structural relaxation.

Values from the calculation:
Energy of formation from the pure elements (eV per formula unit): 0.6
DOS at the Fermi energy (states/eV/cell): 11.4
Energy above the most stable polymorph in this dataset (kJ/mol of atoms): 0.0
Uncorrected energy (eV/cell): -10.3

The structure in extended XYZ format:
```
10
Lattice="12.302 0.000 0.000 0.000 12.302 0.000 0.000 0.000 4.903" Properties=species:S:1:pos:R:3 pbc="T T T"
K 4.561 10.712 0.000
K 10.712 7.741 0.000
K 7.741 1.590 0.000
K 1.590 4.561 0.000
Rb 4.018 2.133 2.452
Rb 2.133 8.284 2.452
Rb 10.169 4.018 2.452
Rb 8.284 10.169 2.452
Sr 6.151 6.151 0.000
Sr 0.000 0.000 0.000
```

Density functional theory data (PBE) for Np2Mo2S5 after structural relaxation.

Values from the calculation:
DOS at the Fermi energy (states/eV/cell): 17.4
Uncorrected energy (eV/cell): -75.0

The structure in extended XYZ format:
```
9
Lattice="-0.700 -3.984 -2.194 6.138 0.573 1.827 -5.246 -1.900 5.124" Properties=species:S:1:pos:R:3 pbc="T T T"
S 0.000 0.000 0.000
S 3.589 -1.139 0.922
S -3.397 -4.173 3.835
S -1.067 -1.284 2.673
S 1.259 -4.027 2.084
Np -0.420 -2.799 0.391
Np 0.612 -2.512 4.367
Mo 3.079 -3.501 0.549
Mo -2.887 -1.810 4.208
```

Density functional theory data (PBE) for ThPa2Re9 after structural relaxation.

Values from the calculation:
Energy of formation from the pure elements (eV per formula unit): -0.5
DOS at the Fermi energy (states/eV/cell): 11.2
Uncorrected energy (eV/cell): -139.0

The structure in extended XYZ format:
```
12
Lattice="5.081 0.000 1.512 2.315 4.523 1.512 -0.116 -0.071 9.682" Properties=species:S:1:pos:R:3 pbc="T T T"
Re 4.911 3.003 2.082
Re 3.640 2.226 6.353
Re 3.068 0.297 8.275
Re 4.212 4.155 4.431
Re 5.618 1.856 4.431
Re 4.245 2.596 9.043
Re 2.369 1.449 10.624
Re 1.662 2.596 8.275
Re 3.035 1.856 3.663
Pa 1.014 0.620 5.885
Pa 6.266 3.832 6.821
Th 0.000 0.000 0.000
```

Density functional theory data (PBE) for Ag4SbSe after structural relaxation.

Values from the calculation:
DOS at the Fermi energy (states/eV/cell): 1.9
Energy above the most stable polymorph in this dataset (kJ/mol of atoms): 16.5
Uncorrected energy (eV/cell): -17.8

The structure in extended XYZ format:
```
6
Lattice="-3.674 -2.293 3.548 -5.495 0.565 -0.908 -3.043 -4.421 -1.591" Properties=species:S:1:pos:R:3 pbc="T T T"
Ag -7.324 -2.026 -0.060
Ag -4.583 -2.308 0.393
Ag -6.101 -4.513 -0.400
Ag -6.415 -3.451 2.163
Se 0.000 0.000 0.000
Sb -9.159 -4.612 0.786
```

Density functional theory data (PBE) for Ba3Fe5 after structural relaxation.

Values from the calculation:
Energy of formation from the pure elements (eV per formula unit): 7.7
DOS at the Fermi energy (states/eV/cell): 12.1
Energy above the most stable polymorph in this dataset (kJ/mol of atoms): 36.4
Uncorrected energy (eV/cell): -40.3

The structure in extended XYZ format:
```
8
Lattice="-3.139 -0.143 5.634 2.037 -5.838 -1.837 4.276 0.736 2.401" Properties=species:S:1:pos:R:3 pbc="T T T"
Fe 1.018 -2.919 -0.918
Fe -1.569 -0.071 2.817
Fe 1.967 -0.562 1.791
Fe 1.208 -4.683 4.407
Fe 0.000 0.000 0.000
Ba 2.801 -3.959 1.346
Ba -0.551 -2.991 1.898
Ba 0.373 -1.286 4.852
```

Density functional theory data (PBE) for ZnSb after structural relaxation.

Values from the calculation:
DOS at the Fermi energy (states/eV/cell): 1.0
Uncorrected energy (eV/cell): -10.6

The structure in extended XYZ format:
```
4
Lattice="-2.422 0.038 -3.873 0.143 -3.037 -3.410 -4.725 -3.843 0.652" Properties=species:S:1:pos:R:3 pbc="T T T"
Zn -3.354 -3.285 -3.235
Zn -1.900 -1.846 -1.738
Sb -0.384 -0.343 -0.155
Sb -4.870 -4.788 -4.817
```

Density functional theory data (PBE) for Nb2ZnMo after structural relaxation.

Values from the calculation:
Energy of formation from the pure elements (eV per formula unit): 0.8
DOS at the Fermi energy (states/eV/cell): 2.7
Uncorrected energy (eV/cell): -31.5

The structure in extended XYZ format:
```
4
Lattice="3.123 0.000 0.000 1.561 2.704 0.000 1.561 0.901 8.362" Properties=species:S:1:pos:R:3 pbc="T T T"
Mo 0.000 0.000 0.000
Nb 4.684 2.704 6.370
Nb 1.561 0.901 1.992
Zn 3.123 1.803 4.181
```

Density functional theory data (PBE) for Tb3Pm12Y after structural relaxation.

Values from the calculation:
Energy of formation from the pure elements (eV per formula unit): 0.2
DOS at the Fermi energy (states/eV/cell): 24.0
Uncorrected energy (eV/cell): -77.1

The structure in extended XYZ format:
```
16
Lattice="-2.577 -3.696 2.466 4.443 -2.159 1.407 0.098 11.329 17.079" Properties=species:S:1:pos:R:3 pbc="T T T"
Pm 2.282 6.001 11.378
Pm 0.982 2.737 10.476
Pm 2.307 8.830 15.644
Pm -1.276 -0.429 3.372
Pm 0.957 -0.095 6.207
Pm -1.203 8.062 16.173
Pm -1.227 5.233 11.907
Pm 1.006 5.569 14.746
Pm -1.252 2.401 7.638
Pm 2.234 0.339 2.842
Pm 2.258 3.169 7.108
Pm 0.933 -2.927 1.936
Tb 0.073 8.498 12.811
Tb 0.024 2.831 4.268
Tb 0.049 5.664 8.540
Y 0.000 0.000 0.000
```

Density functional theory data (PBE) for Tm2Ga3Ag5 after structural relaxation.

Values from the calculation:
Energy of formation from the pure elements (eV per formula unit): -2.7
DOS at the Fermi energy (states/eV/cell): 8.6
Energy above the most stable polymorph in this dataset (kJ/mol of atoms): 0.0
Uncorrected energy (eV/cell): -70.0

The structure in extended XYZ format:
```
20
Lattice="4.485 0.000 -0.764 0.000 6.957 0.000 -0.173 0.000 12.529" Properties=species:S:1:pos:R:3 pbc="T T T"
Ag 1.140 3.240 6.693
Ag 0.206 4.021 1.207
Ag 4.106 0.542 10.557
Ag 3.803 5.344 8.780
Ag 3.055 2.581 4.391
Ag 1.612 3.334 9.463
Ag 0.508 1.865 2.985
Ag 1.256 6.060 7.374
Ag 3.171 6.719 5.071
Ag 2.700 6.813 2.302
Tm 2.301 1.925 -0.040
Tm 0.712 5.065 4.182
Tm 2.011 5.404 11.805
Tm 3.599 1.586 7.583
Ga 2.675 4.011 2.157
Ga 3.381 4.508 6.301
Ga 0.218 6.775 1.281
Ga 0.931 1.029 5.464
Ga 4.093 3.296 10.484
Ga 1.637 0.532 9.607
```